Below is a relaxed La9Ru2Rh4 crystal, with properties calculated at the GGA-PBE level.

a b c (Å): 7.1753 7.1754 19.6645
angles (deg): 90.00 90.00 60.00
Positions (direct):
La1 0.0001 0.3330 0.7500
La2 0.0063 0.6693 0.9157
La3 0.6670 0.0000 0.7500
La4 0.6693 0.3244 0.9157
La5 0.6692 0.0063 0.4157
La6 0.6755 0.9938 0.0843
La7 0.9938 0.6755 0.5843
La8 0.3332 0.6669 0.7500
La9 0.6756 0.3307 0.5843
La10 0.3245 0.0062 0.9157
La11 0.3307 0.6756 0.0843
La12 0.6668 0.3331 0.2500
La13 0.3308 0.9937 0.5843
La14 0.0062 0.3245 0.4157
La15 0.3330 0.0000 0.2500
La16 0.3244 0.6693 0.4157
La17 0.9937 0.3307 0.0843
La18 0.9999 0.6670 0.2500
Rh1 0.6667 0.6667 0.4956
Rh2 0.6666 0.6667 0.3383
Rh3 0.3332 0.3334 0.1617
Rh4 0.3333 0.3333 0.5044
Rh5 0.6668 0.6666 0.8383
Rh6 0.3334 0.3333 0.6617
Rh7 0.6667 0.6666 0.9957
Rh8 0.3333 0.3334 0.0043
Ru1 0.0001 0.0000 0.6704
Ru2 0.9999 0.0000 0.3296
Ru3 0.9999 0.0000 0.1704
Ru4 0.0001 0.0000 0.8296

Results
- Uncorrected energy: -100.0 eV/f.u.
- Calculated density: 7.1 g cm⁻³
- Crystal system: trigonal
- Energy of formation: -515 meV/atom

***

Below is a relaxed ZnTeSe2 crystal, with properties calculated at the GGA-PBE level.

a b c (Å): 6.4190 6.4190 4.7336
angles (deg): 68.36 68.36 35.65
Positions (direct):
Se1 0.4050 0.4050 0.5954
Se2 0.0950 0.0950 0.9046
Zn1 0.7500 0.7500 0.7500
Te1 0.2500 0.2500 0.2500

Results
- Relative energy among the computed polymorphs: 132 meV/atom
- Uncorrected energy: -11.4 eV/f.u.
- Calculated density: 5.6 g cm⁻³
- Crystal system: orthorhombic

***

Below is a relaxed Nd7HoSc2 crystal, with properties calculated at the GGA-PBE level.

a b c (Å): 5.6007 8.9674 8.9674
angles (deg): 119.62 90.00 90.00
Positions (direct):
Nd1 0.5000 0.5000 0.5000
Nd2 0.5000 0.3036 0.0623
Nd3 0.5000 0.6964 0.9377
Nd4 0.0000 0.7530 0.2470
Nd5 0.5000 0.9377 0.6964
Nd6 0.5000 0.0623 0.3036
Nd7 0.0000 0.2470 0.7530
Sc1 0.5000 0.2969 0.7031
Sc2 0.5000 0.7031 0.2969
Ho1 0.0000 0.0000 0.0000

Results
- Uncorrected energy: -44.6 eV/f.u.
- Calculated density: 5.4 g cm⁻³
- Crystal system: orthorhombic
- Energy of formation: 597 meV/atom

***

Below is a relaxed LiCe2Ge3 crystal, with properties calculated at the GGA-PBE level.

a b c (Å): 5.9398 5.9398 8.4291
angles (deg): 109.97 109.97 91.76
Last column: magnetic moment on the atom in μB.
Positions (direct):
Ce1 0.7500 0.2500 0.5000  0.77
Ce2 0.7597 0.7597 0.0000  0.69
Ce3 0.2500 0.7500 0.5000  0.77
Ce4 0.2403 0.2403 0.0000  0.69
Ge1 0.1737 0.6562 0.8300  -0.01
Ge2 0.8298 0.8298 0.6597  -0.01
Ge3 0.3438 0.8263 0.1700  -0.01
Ge4 0.6562 0.1737 0.8300  -0.01
Ge5 0.1702 0.1702 0.3403  -0.01
Ge6 0.8263 0.3438 0.1700  -0.01
Li1 0.3341 0.3341 0.6681  0.01
Li2 0.6659 0.6659 0.3319  0.01

Results
- Uncorrected energy: -31.3 eV/f.u.
- Calculated density: 6.5 g cm⁻³
- Crystal system: orthorhombic
- Energy of formation: -618 meV/atom

***

Below is a relaxed ReAs2SeO crystal, with properties calculated at the GGA-PBE level.

a b c (Å): 4.8284 4.8284 4.6705
angles (deg): 90.00 90.00 90.00
Positions (direct):
As1 0.0000 0.5000 0.0000
As2 0.5000 0.0000 0.0000
Re1 0.0000 0.0000 0.0000
O1 0.5000 0.5000 0.5000
Se1 0.0000 0.0000 0.5000

Results
- Relative energy among the computed polymorphs: 132 meV/atom
- Uncorrected energy: -25.8 eV/f.u.
- Calculated density: 6.6 g cm⁻³
- Crystal system: tetragonal

***

Below is a relaxed TeMoPb2 crystal, with properties calculated at the GGA-PBE level.

a b c (Å): 3.4080 3.4080 8.8020
angles (deg): 90.00 90.00 90.00
Last column: magnetic moment on the atom in μB.
Positions (direct):
Mo1 0.5000 0.5000 0.7225  0.34
Te1 0.0000 0.0000 0.5670  -0.01
Pb1 0.5000 0.5000 0.2592  0.01
Pb2 0.0000 0.0000 0.9513  0.01

Results
- Uncorrected energy: -20.5 eV/f.u.
- Calculated density: 10.4 g cm⁻³
- Crystal system: tetragonal

***

Below is a relaxed Y2SiTe crystal, with properties calculated at the GGA-PBE level.

a b c (Å): 4.2581 4.2581 5.9947
angles (deg): 90.00 90.00 90.00
Positions (direct):
Y1 0.5000 0.5000 0.3750
Y2 0.0000 0.0000 0.8751
Si1 0.0000 0.0000 0.3749
Te1 0.5000 0.5000 0.8750

Results
- Relative energy among the computed polymorphs: 98 meV/atom
- Uncorrected energy: -25.6 eV/f.u.
- Calculated density: 5.1 g cm⁻³
- Crystal system: tetragonal

***

Below is a relaxed Cd2MoPdS crystal, with properties calculated at the GGA-PBE level.

a b c (Å): 5.0705 4.8753 5.0705
angles (deg): 90.00 90.00 90.00
Last column: magnetic moment on the atom in μB.
Positions (direct):
S1 0.5000 0.5000 0.5000  -0.13
Cd1 0.5000 0.0000 0.0000  -0.04
Cd2 0.0000 0.0000 0.5000  -0.02
Mo1 0.0000 0.5000 0.0000  2.31
Pd1 0.0000 0.0000 0.0000  0.05

Results
- Uncorrected energy: -17.7 eV/f.u.
- Calculated density: 6.1 g cm⁻³
- Crystal system: tetragonal

***

Below is a relaxed CoTc2H crystal, with properties calculated at the GGA-PBE level.

a b c (Å): 2.7478 2.7478 7.2432
angles (deg): 79.07 79.07 60.00
Last column: magnetic moment on the atom in μB.
Positions (direct):
H1 0.5000 0.5000 0.5000  0.00
Tc1 0.8859 0.8859 0.3424  -0.05
Tc2 0.1141 0.1141 0.6576  -0.05
Co1 0.0000 0.0000 0.0000  1.49

Results
- Relative energy among the computed polymorphs: 216 meV/atom
- Uncorrected energy: -29.2 eV/f.u.
- Calculated density: 9.2 g cm⁻³
- Crystal system: trigonal

***

Below is a relaxed BeTePd crystal, with properties calculated at the GGA-PBE level.

a b c (Å): 5.3115 5.3115 4.4419
angles (deg): 90.00 90.00 90.00
Positions (direct):
Te1 0.5000 0.5000 0.5000
Te2 0.0000 0.0000 0.5000
Be1 0.5000 0.0000 0.1562
Be2 0.0000 0.5000 0.8438
Pd1 0.5000 0.0000 0.6646
Pd2 0.0000 0.5000 0.3354

Results
- Uncorrected energy: -11.3 eV/f.u.
- Calculated density: 6.4 g cm⁻³
- Crystal system: tetragonal

***

Below is a relaxed Ce2Zn2Au3 crystal, with properties calculated at the GGA-PBE level.

a b c (Å): 4.2839 5.6191 7.1876
angles (deg): 110.50 90.00 112.41
Last column: magnetic moment on the atom in μB.
Positions (direct):
Ce1 0.1372 0.2745 0.7621  0.69
Ce2 0.8628 0.7255 0.2379  0.69
Zn1 0.1506 0.3011 0.2076  0.01
Zn2 0.8494 0.6989 0.7924  0.01
Au1 0.6202 0.2404 0.4348  -0.01
Au2 0.3798 0.7596 0.5652  -0.01
Au3 0.5000 0.0000 0.0000  0.01

Results
- Relative energy among the computed polymorphs: 36 meV/atom
- Uncorrected energy: -27.8 eV/f.u.
- Calculated density: 11.2 g cm⁻³
- Crystal system: monoclinic
- Energy of formation: -510 meV/atom

***

Below is a relaxed Te2PtRh crystal, with properties calculated at the GGA-PBE level.

a b c (Å): 6.8971 6.8971 6.8971
angles (deg): 32.53 32.53 32.53
Positions (direct):
Te1 0.2477 0.2477 0.2477
Te2 0.7523 0.7523 0.7523
Pt1 0.0000 0.0000 0.0000
Rh1 0.5000 0.5000 0.5000

Results
- Relative energy among the computed polymorphs: 122 meV/atom
- Uncorrected energy: -20.2 eV/f.u.
- Calculated density: 10.9 g cm⁻³
- Crystal system: trigonal

***

Below is a relaxed BaTl7Pb4 crystal, with properties calculated at the GGA-PBE level.

a b c (Å): 6.3731 11.0086 6.9732
angles (deg): 84.47 62.81 73.17
Positions (direct):
Pb1 0.4076 0.7824 0.4024
Pb2 0.5924 0.2176 0.5976
Pb3 0.2894 0.3114 0.1098
Pb4 0.7106 0.6886 0.8902
Tl1 0.7880 0.9037 0.5203
Tl2 0.6589 0.4435 0.2388
Tl3 0.9577 0.3797 0.7049
Tl4 0.2120 0.0963 0.4797
Tl5 0.5000 0.0000 0.0000
Tl6 0.3411 0.5565 0.7612
Tl7 0.0423 0.6203 0.2951
Ba1 0.0000 0.0000 0.0000

Results
- Uncorrected energy: -33.2 eV/f.u.
- Calculated density: 9.6 g cm⁻³
- Crystal system: monoclinic
- Energy of formation: 14 meV/atom